VASP calculation (meta-GGA SCAN) on a PBEsol-optimized structure of KRb2Bi2.

a = 9.2222 Å, b = 9.2222 Å, c = 5.3834 Å
α = 90.00°, β = 90.00°, γ = 90.00°
Last column: nearest neighbours and their distance in Å.
Sites, in units of the cell vectors:
K (0.0000, 0.0000, 0.0000)  4 Bi 3.71
K (0.5000, 0.5000, 0.0000)  4 Bi 3.71
Rb (0.1718, 0.3282, 0.5000)  6 Bi 3.81-3.88
Rb (0.3282, 0.8282, 0.5000)  6 Bi 3.81-3.88
Rb (0.6718, 0.1718, 0.5000)  6 Bi 3.81-3.88
Rb (0.8282, 0.6718, 0.5000)  6 Bi 3.81-3.88
Bi (0.1141, 0.6141, 0.0000)  1 Bi 2.98
Bi (0.3859, 0.1141, 0.0000)  1 Bi 2.98
Bi (0.6141, 0.8859, 0.0000)  1 Bi 2.98
Bi (0.8859, 0.3859, 0.0000)  1 Bi 2.98

Size of the total moment   0.090 μB/atom
Energy relative to the elements   -0.362 eV/atom
Space-group type   No. 127
Crystal system   tetragonal

---

VASP calculation (meta-GGA SCAN) on a PBEsol-optimized structure of KRb3Bi.

a = 7.1900 Å, b = 7.1900 Å, c = 7.1900 Å
α = 90.00°, β = 90.00°, γ = 90.00°
Last column: nearest neighbours and their distance in Å.
Sites, in units of the cell vectors:
K (0.0000, 0.0000, 0.0000)  12 Rb 5.08
Rb (0.0000, 0.5000, 0.5000)  2 Bi 3.59
Rb (0.5000, 0.0000, 0.5000)  2 Bi 3.59
Rb (0.5000, 0.5000, 0.0000)  2 Bi 3.59
Bi (0.5000, 0.5000, 0.5000)  6 Rb 3.59

Size of the total moment   0.187 μB/atom
Energy relative to the elements   -0.142 eV/atom
Space-group type   No. 221
Crystal system   cubic